1.
This record from Alexandria via LeMat-Bulk describes a relaxed TcTe2Br crystal. The functional is PBE.

The structure in POSCAR format:
```
TcTe2Br
1.0
3.987 0.000 0.000
0.000 4.601 0.000
-0.223 0.000 6.541
Tc Te Br
1 2 1
direct
0.000 0.000 0.000 Tc
0.458 0.000 0.290 Te
0.696 0.500 0.057 Te
0.083 0.500 0.673 Br
```

- E (eV/atom) = -4.17
- DOS(E_F) (states/eV/f.u.) = 3.5
- magnetization (μB per formula unit) = 0.001
- relative energy among the computed polymorphs (meV per atom) = 593
- space-group type = No. 6

2.
This record from Alexandria via LeMat-Bulk describes a relaxed Tc2TeBr crystal. The functional is PBE.

The structure in POSCAR format:
```
Tc2TeBr
1.0
3.165 0.000 0.000
0.000 3.598 0.000
-1.575 0.000 7.987
Tc Te Br
2 1 1
direct
0.000 0.000 0.000 Tc
0.500 0.500 0.140 Tc
0.147 0.000 0.341 Te
0.865 0.500 0.758 Br
```

- E (eV/atom) = -6.19
- DOS(E_F) (states/eV/f.u.) = 3.2
- magnetization (μB per formula unit) = 0.000
- relative energy among the computed polymorphs (meV per atom) = 30
- space-group type = No. 6

3.
This record from Alexandria via LeMat-Bulk describes a relaxed Tc2TeBr crystal. The functional is PBE.

The structure in POSCAR format:
```
Tc2TeBr
1.0
4.615 0.000 0.000
0.000 4.615 0.000
0.000 0.000 3.255
Tc Te Br
2 1 1
direct
0.000 0.500 0.000 Tc
0.500 0.000 0.000 Tc
0.000 0.000 0.500 Te
0.500 0.500 0.500 Br
```

- E (eV/atom) = -5.65
- DOS(E_F) (states/eV/f.u.) = 4.0
- magnetization (μB per formula unit) = 0.000
- relative energy among the computed polymorphs (meV per atom) = 572
- space-group type = No. 123

4.
This record from Alexandria via LeMat-Bulk describes a relaxed TcTeBr2 crystal. The functional is PBE.

The structure in POSCAR format:
```
TcTeBr2
1.0
0.000 3.610 3.610
3.610 0.000 3.610
3.610 3.610 0.000
Tc Te Br
1 1 2
direct
0.000 0.000 0.000 Tc
0.750 0.750 0.750 Te
0.250 0.250 0.250 Br
0.500 0.500 0.500 Br
```

- E (eV/atom) = -3.51
- DOS(E_F) (states/eV/f.u.) = 1.1
- magnetization (μB per formula unit) = 2.956
- relative energy among the computed polymorphs (meV per atom) = 759
- space-group type = No. 216